# 1
Density functional theory data (PBE-GGA) for a relaxed LiAcBi crystal.

abc: 6.6106 6.6106 6.6106
angles: 145.49 145.49 49.61
Last column: nearest neighbours and their distance in Å.
Element x y z (fractional)
Li  0.0000  0.0000  0.0000  4 Bi 3.01
Ac  0.2977  0.2977  0.0000  5 Li 3.57-3.69, 5 Bi 3.59-3.67, 4 Ac 3.92
Bi  0.5968  0.5968  0.0000  4 Li 3.01

Values from the calculation:
ΔE_f: -0.3688 eV per atom
offset from the most stable computed form: 0.3525 eV/atom

---

# 2
Density functional theory data (PBE-GGA) for a relaxed Ce2HoMnS5 crystal.

abc: 8.4810 8.4810 12.0145
angles: 90.00 90.00 153.52
Last column: nearest neighbours and their distance in Å.
Element x y z (fractional)
Ce  0.1136  0.8864  0.5000  8 S 2.92-3.02
Ce  0.1299  0.8701  0.1199  8 S 2.87-3.20
Ce  0.8701  0.1299  0.6199  8 S 2.87-3.20
Ce  0.8864  0.1136  0.0000  8 S 2.92-3.02
Ho  0.1960  0.8040  0.8182  6 S 2.67-2.72
Ho  0.8040  0.1960  0.3182  6 S 2.67-2.72
Mn  0.4980  0.5020  0.2884  4 S 2.31-2.39
Mn  0.5020  0.4980  0.7884  4 S 2.31-2.39
S  0.0414  0.9586  0.8832  2 Mn 2.34
S  0.2917  0.7083  0.4758  2 Ho 2.72, 3 Ce 2.91-2.95
S  0.3098  0.6902  0.1608  2 Ho 2.71, 3 Ce 3.01-3.02
S  0.3587  0.6413  0.8141  1 Mn 2.39
S  0.4973  0.5027  0.5964  1 Mn 2.31
S  0.5027  0.4973  0.0964  1 Mn 2.31
S  0.6413  0.3587  0.3141  1 Mn 2.39
S  0.6902  0.3098  0.6608  2 Ho 2.71, 3 Ce 3.01-3.02
S  0.7083  0.2917  0.9758  2 Ho 2.72, 3 Ce 2.91-2.95
S  0.9586  0.0414  0.3832  2 Mn 2.34

Values from the calculation:
electronic total energy: -6.839 eV/atom

---

# 3
Density functional theory data (PBE-GGA) for a relaxed GeS4I crystal.

abc: 13.9451 13.9451 4.8394
angles: 92.65 92.65 156.47
Last column: nearest neighbours and their distance in Å.
Element x y z (fractional)
Ge  0.1341  0.8659  0.7500  4 S 2.49-2.54
Ge  0.8659  0.1341  0.2500  4 S 2.49-2.54
S  0.0456  0.1882  0.6281  1 S 1.97
S  0.0836  0.6841  0.3719  1 S 1.96
S  0.1882  0.0456  0.1281  1 S 1.97
S  0.3159  0.9164  0.1281  1 S 1.96
S  0.6841  0.0836  0.8719  1 S 1.96
S  0.8118  0.9544  0.8719  1 S 1.97
S  0.9164  0.3159  0.6281  1 S 1.96
S  0.9544  0.8118  0.3719  1 S 1.97
I  0.3635  0.6365  0.2500  2 Ge 2.84
I  0.6365  0.3635  0.7500  2 Ge 2.84

Values from the calculation:
electronic total energy: -3.701 eV/atom

---

# 4
Density functional theory data (PBE-GGA) for a relaxed TaBeCu crystal.

abc: 2.7987 5.0139 6.0249
angles: 106.96 90.59 105.37
Last column: nearest neighbours and their distance in Å.
Element x y z (fractional)
Ta  0.1648  0.3100  0.0989  4 Be 2.62-2.74, 3 Cu 2.74-2.76, 5 Ta 2.80-2.87
Ta  0.8352  0.6900  0.9011  4 Be 2.62-2.74, 3 Cu 2.74-2.76, 5 Ta 2.80-2.87
Be  0.4723  0.9466  0.2767  4 Cu 2.27-2.42
Be  0.5277  0.0534  0.7233  4 Cu 2.27-2.42
Cu  0.1443  0.2979  0.5501  4 Be 2.27-2.42
Cu  0.8557  0.7021  0.4499  4 Be 2.27-2.42

Values from the calculation:
ΔE_f: 0.0409 eV per atom
offset from the most stable computed form: 0.1339 eV/atom

---

The calculation returns the following ρ values, one per record and in order: 7.97, 5.69, 2.97, 10.85 g/cm3.